No. 1
# TiWC2 | Alexandria via LeMat-Bulk | PBE-GGA | relaxed
data_TiWC2
_cell_length_a 5.425
_cell_length_b 5.425
_cell_length_c 5.425
_cell_angle_alpha 90.00
_cell_angle_beta 90.00
_cell_angle_gamma 90.00
_symmetry_space_group_name_H-M 'F m -3 m'
_symmetry_Int_Tables_number 225
_symmetry_space_group_name_Hall '-F 4 2 3'
loop_
_atom_site_label
_atom_site_fract_x
_atom_site_fract_y
_atom_site_fract_z
Ti1 0.000 0.000 0.000
W1 0.000 0.000 0.500
C1 0.250 0.250 0.250
# energy above the lowest structure with this stoichiometry = 901.6 meV per atom
# energy = -9.333 eV/atom
# energy of formation from the pure elements = 0.491 eV per atom
# N(E_F) = 0.61 states/eV per atom


No. 2
# TiW2C | Alexandria via LeMat-Bulk | PBE-GGA | relaxed
data_TiW2C
_cell_length_a 7.162
_cell_length_b 7.162
_cell_length_c 4.456
_cell_angle_alpha 90.00
_cell_angle_beta 90.00
_cell_angle_gamma 90.00
_symmetry_space_group_name_H-M 'I -4 2 d'
_symmetry_Int_Tables_number 122
_symmetry_space_group_name_Hall 'I -4 2bw'
loop_
_atom_site_label
_atom_site_fract_x
_atom_site_fract_y
_atom_site_fract_z
Ti1 0.000 0.000 0.000
W1 0.139 0.250 0.625
C1 0.000 0.000 0.500
# energy = -10.650 eV/atom
# energy of formation from the pure elements = 0.106 eV per atom
# N(E_F) = 0.39 states/eV per atom


No. 3
# TiWC | Alexandria via LeMat-Bulk | PBE-GGA | relaxed
data_TiWC
_cell_length_a 4.774
_cell_length_b 6.056
_cell_length_c 5.258
_cell_angle_alpha 90.00
_cell_angle_beta 90.45
_cell_angle_gamma 90.00
_symmetry_space_group_name_H-M 'P 1 21/c 1'
_symmetry_Int_Tables_number 14
loop_
_symmetry_equiv_pos_as_xyz
'x,y,z'
'-x,-y,-z'
'-x,y+1/2,-z+1/2'
'x,-y+1/2,z+1/2'
loop_
_atom_site_label
_atom_site_fract_x
_atom_site_fract_y
_atom_site_fract_z
Ti1 0.242 0.126 0.084
W1 0.251 0.623 0.082
C1 0.499 0.126 0.750
# energy = -10.473 eV/atom
# energy of formation from the pure elements = -0.450 eV per atom
# N(E_F) = 0.35 states/eV per atom


No. 4
# Ti3WC | Alexandria via LeMat-Bulk | PBE-GGA | relaxed
data_Ti3WC
_cell_length_a 4.175
_cell_length_b 4.175
_cell_length_c 4.175
_cell_angle_alpha 90.00
_cell_angle_beta 90.00
_cell_angle_gamma 90.00
_symmetry_space_group_name_H-M 'P m -3 m'
_symmetry_Int_Tables_number 221
_symmetry_space_group_name_Hall '-P 4 2 3'
loop_
_atom_site_label
_atom_site_fract_x
_atom_site_fract_y
_atom_site_fract_z
Ti1 0.000 0.000 0.500
W1 0.500 0.500 0.500
C1 0.000 0.000 0.000
# energy above the lowest structure with this stoichiometry = 0.0 meV per atom
# energy = -9.370 eV/atom
# energy of formation from the pure elements = -0.197 eV per atom
# N(E_F) = 0.57 states/eV per atom


No. 5
# TiWC2 | Alexandria via LeMat-Bulk | PBE-GGA | relaxed
data_TiWC2
_cell_length_a 4.718
_cell_length_b 4.718
_cell_length_c 9.429
_cell_angle_alpha 90.00
_cell_angle_beta 90.00
_cell_angle_gamma 90.00
_symmetry_space_group_name_H-M 'I -4 2 d'
_symmetry_Int_Tables_number 122
_symmetry_space_group_name_Hall 'I -4 2bw'
loop_
_atom_site_label
_atom_site_fract_x
_atom_site_fract_y
_atom_site_fract_z
Ti1 0.000 0.000 0.000
W1 0.000 0.000 0.500
C1 0.239 0.250 0.625
# energy above the lowest structure with this stoichiometry = 512.4 meV per atom
# energy = -9.722 eV/atom
# energy of formation from the pure elements = 0.102 eV per atom
# N(E_F) = 0.51 states/eV per atom


No. 6
# Ti2W4C | Alexandria via LeMat-Bulk | PBE-GGA | relaxed
data_Ti2W4C
_cell_length_a 4.058
_cell_length_b 4.058
_cell_length_c 13.734
_cell_angle_alpha 90.00
_cell_angle_beta 90.00
_cell_angle_gamma 90.00
_symmetry_space_group_name_H-M 'I 4/m m m'
_symmetry_Int_Tables_number 139
_symmetry_space_group_name_Hall '-I 4 2'
loop_
_atom_site_label
_atom_site_fract_x
_atom_site_fract_y
_atom_site_fract_z
Ti1 0.000 0.000 0.140
W1 0.000 0.000 0.336
W2 0.000 0.500 0.000
C1 0.000 0.000 0.500
# energy = -10.369 eV/atom
# energy of formation from the pure elements = 0.606 eV per atom
# N(E_F) = 1.00 states/eV per atom


No. 7
# TiWC2 | Alexandria via LeMat-Bulk | PBE-GGA | relaxed
data_TiWC2
_cell_length_a 3.0378
_cell_length_b 3.0378
_cell_length_c 15.8642
_cell_angle_alpha 90.00
_cell_angle_beta 90.00
_cell_angle_gamma 120.00
_symmetry_space_group_name_H-M 'R 3 m'
_symmetry_Int_Tables_number 160
_symmetry_space_group_name_Hall 'R 3 -2"'
loop_
_atom_site_label
_atom_site_fract_x
_atom_site_fract_y
_atom_site_fract_z
Ti1 0.0000 0.0000 0.0000
W1 0.0000 0.0000 0.1796
C1 0.0000 0.0000 0.5908
C2 0.0000 0.0000 0.7619
# energy above the lowest structure with this stoichiometry = 134.8 meV per atom
# energy = -10.099 eV/atom
# energy of formation from the pure elements = -0.275 eV per atom
# N(E_F) = 0.35 states/eV per atom


No. 8
# TiWC2 | Alexandria via LeMat-Bulk | PBE-GGA | relaxed
data_TiWC2
_cell_length_a 3.0712
_cell_length_b 3.0712
_cell_length_c 15.1408
_cell_angle_alpha 90.00
_cell_angle_beta 90.00
_cell_angle_gamma 120.00
_symmetry_space_group_name_H-M 'R -3 m'
_symmetry_Int_Tables_number 166
_symmetry_space_group_name_Hall '-R 3 2"'
loop_
_atom_site_label
_atom_site_fract_x
_atom_site_fract_y
_atom_site_fract_z
Ti1 0.0000 0.0000 0.0000
W1 0.0000 0.0000 0.5000
C1 0.0000 0.0000 0.2507
# energy above the lowest structure with this stoichiometry = 0.0 meV per atom
# energy = -10.234 eV/atom
# energy of formation from the pure elements = -0.410 eV per atom
# N(E_F) = 0.25 states/eV per atom


No. 9
# Ti2WC2 | Alexandria via LeMat-Bulk | PBE-GGA | relaxed
data_Ti2WC2
_cell_length_a 9.452
_cell_length_b 4.349
_cell_length_c 6.013
_cell_angle_alpha 90.00
_cell_angle_beta 107.43
_cell_angle_gamma 90.00
_symmetry_space_group_name_H-M 'C 1 2/m 1'
_symmetry_Int_Tables_number 12
loop_
_symmetry_equiv_pos_as_xyz
'x,y,z'
'-x,-y,-z'
'-x,y,-z'
'x,-y,z'
'x+1/2,y+1/2,z'
'-x+1/2,-y+1/2,-z'
'-x+1/2,y+1/2,-z'
'x+1/2,-y+1/2,z'
loop_
_atom_site_label
_atom_site_fract_x
_atom_site_fract_y
_atom_site_fract_z
Ti1 0.001 0.000 0.259
Ti2 0.162 0.500 0.571
W1 0.169 0.500 0.076
C1 0.002 0.500 0.246
C2 0.165 0.000 0.585
# energy = -9.992 eV/atom
# energy of formation from the pure elements = -0.554 eV per atom
# N(E_F) = 0.46 states/eV per atom


No. 10
# Ti3WC | Alexandria via LeMat-Bulk | PBE-GGA | relaxed
data_Ti3WC
_cell_length_a 4.734
_cell_length_b 4.734
_cell_length_c 4.734
_cell_angle_alpha 90.00
_cell_angle_beta 90.00
_cell_angle_gamma 90.00
_symmetry_space_group_name_H-M 'P m -3 m'
_symmetry_Int_Tables_number 221
_symmetry_space_group_name_Hall '-P 4 2 3'
loop_
_atom_site_label
_atom_site_fract_x
_atom_site_fract_y
_atom_site_fract_z
Ti1 0.000 0.000 0.500
W1 0.000 0.000 0.000
C1 0.500 0.500 0.500
# energy above the lowest structure with this stoichiometry = 2306.7 meV per atom
# energy = -7.063 eV/atom
# energy of formation from the pure elements = 2.110 eV per atom
# N(E_F) = 1.16 states/eV per atom


No. 11
# TiZnW2C | Alexandria via LeMat-Bulk | PBE-GGA | relaxed
data_TiZnW2C
_cell_length_a 4.109
_cell_length_b 4.109
_cell_length_c 4.265
_cell_angle_alpha 90.00
_cell_angle_beta 90.00
_cell_angle_gamma 90.00
_symmetry_space_group_name_H-M 'P 4/m m m'
_symmetry_Int_Tables_number 123
_symmetry_space_group_name_Hall '-P 4 2'
loop_
_atom_site_label
_atom_site_fract_x
_atom_site_fract_y
_atom_site_fract_z
Ti1 0.000 0.000 0.000
Zn1 0.500 0.500 0.000
W1 0.000 0.500 0.500
C1 0.000 0.000 0.500
# energy = -8.794 eV/atom
# energy of formation from the pure elements = 0.066 eV per atom
# N(E_F) = 1.12 states/eV per atom


No. 12
# YTiC | Alexandria via LeMat-Bulk | PBE-GGA | relaxed
data_YTiC
_cell_length_a 3.091
_cell_length_b 3.091
_cell_length_c 5.101
_cell_angle_alpha 90.00
_cell_angle_beta 90.00
_cell_angle_gamma 90.00
_symmetry_space_group_name_H-M 'P 4/m m m'
_symmetry_Int_Tables_number 123
_symmetry_space_group_name_Hall '-P 4 2'
loop_
_atom_site_label
_atom_site_fract_x
_atom_site_fract_y
_atom_site_fract_z
Y1 0.000 0.000 0.000
Ti1 0.500 0.500 0.500
C1 0.000 0.000 0.500
# energy above the lowest structure with this stoichiometry = 93.3 meV per atom
# energy = -8.139 eV/atom
# energy of formation from the pure elements = -0.278 eV per atom
# N(E_F) = 0.87 states/eV per atom